{"formula": "RbCaF3", "functional": "GGA-PBE", "state": "optimized geometry", "formation_energy_uncorrected_mev_per_atom": -3203.8, "dos_at_fermi_per_ev_atom": 0.00, "total_magnetization_mub_per_cell": 0.11, "cell": [[-5.163, 6.130, -5.243], [-0.456, -8.951, 3.375], [-2.297, 1.734, 4.290]], "species": ["F", "F", "F", "F", "F", "F", "Ca", "Ca", "Rb", "Rb"], "fractional_positions": [[0.419, 0.073, 0.250], [0.927, 0.581, 0.250], [0.581, 0.927, 0.750], [0.073, 0.419, 0.750], [0.000, 0.000, 0.000], [0.000, 0.000, 0.500], [0.905, 0.095, 0.750], [0.095, 0.905, 0.250], [0.303, 0.697, 0.250], [0.697, 0.303, 0.750]]}

{"formula": "RbCaF3", "functional": "GGA-PBE", "state": "optimized geometry", "formation_energy_uncorrected_mev_per_atom": -3421.3, "dos_at_fermi_per_ev_atom": 0.00, "total_magnetization_mub_per_cell": 0.00, "cell": [[3.679, 0.000, 0.541], [0.000, 5.887, 0.000], [-1.176, 0.000, 7.964]], "species": ["F", "F", "F", "F", "F", "F", "Ca", "Ca", "Rb", "Rb"], "fractional_positions": [[0.750, 0.250, 0.619], [0.250, 0.498, 0.873], [0.750, 0.502, 0.127], [0.750, 0.998, 0.127], [0.250, 0.002, 0.873], [0.250, 0.750, 0.381], [0.250, 0.750, 0.102], [0.750, 0.250, 0.898], [0.249, 0.250, 0.370], [0.751, 0.750, 0.630]]}

{"formula": "RbCaF3", "functional": "GGA-PBE", "state": "optimized geometry", "formation_energy_uncorrected_mev_per_atom": -3147.3, "dos_at_fermi_per_ev_atom": 0.00, "total_magnetization_mub_per_cell": 0.00, "cell": [[-0.521, -0.462, 3.836], [3.845, 0.312, 0.560], [-0.663, 6.864, 0.736]], "species": ["F", "F", "F", "Rb", "Ca"], "fractional_positions": [[0.500, 0.000, 0.403], [0.000, 0.000, 0.755], [0.000, 0.500, 0.403], [0.000, 0.000, 0.142], [0.500, 0.500, 0.562]]}

{"formula": "Rb4Ca3F10", "functional": "GGA-PBE", "state": "optimized geometry", "formation_energy_uncorrected_mev_per_atom": -3373.0, "dos_at_fermi_per_ev_atom": 0.00, "total_magnetization_mub_per_cell": 0.32, "cell": [[4.466, 0.000, -0.606], [-0.082, 4.466, -0.606], [-0.043, -0.044, 16.432]], "species": ["F", "F", "F", "F", "F", "F", "F", "F", "F", "F", "Rb", "Rb", "Rb", "Rb", "Ca", "Ca", "Ca"], "fractional_positions": [[0.860, 0.360, 0.719], [0.000, 0.500, 0.000], [0.930, 0.930, 0.860], [0.640, 0.140, 0.281], [0.070, 0.070, 0.140], [0.500, 0.000, 0.000], [0.789, 0.789, 0.579], [0.140, 0.640, 0.281], [0.211, 0.211, 0.421], [0.360, 0.860, 0.719], [0.568, 0.568, 0.136], [0.296, 0.296, 0.592], [0.704, 0.704, 0.408], [0.432, 0.432, 0.864], [0.860, 0.860, 0.720], [0.000, 0.000, 0.000], [0.140, 0.140, 0.280]]}

{"formula": "Rb2CaF2", "functional": "GGA-PBE", "state": "optimized geometry", "formation_energy_uncorrected_mev_per_atom": -1725.6, "dos_at_fermi_per_ev_atom": 0.23, "total_magnetization_mub_per_cell": 0.00, "cell": [[-0.298, -4.053, -2.960], [4.950, -0.724, 0.494], [1.084, -6.737, 4.846]], "species": ["Rb", "Rb", "Ca", "F", "F"], "fractional_positions": [[0.687, 0.687, 0.626], [0.313, 0.313, 0.374], [0.000, 0.000, 0.000], [0.250, 0.750, 0.500], [0.750, 0.250, 0.500]]}

{"formula": "RbCa3F", "functional": "GGA-PBE", "state": "optimized geometry", "formation_energy_uncorrected_mev_per_atom": 570.4, "dos_at_fermi_per_ev_atom": 0.27, "total_magnetization_mub_per_cell": 0.00, "cell": [[7.339, 0.000, 0.000], [0.000, 7.339, 0.000], [0.000, 0.000, 7.339]], "species": ["Rb", "Ca", "Ca", "Ca", "F"], "fractional_positions": [[0.000, 0.000, 0.000], [0.000, 0.000, 0.500], [0.000, 0.500, 0.000], [0.500, 0.000, 0.000], [0.500, 0.500, 0.500]]}

{"formula": "RbCa2F", "functional": "GGA-PBE", "state": "optimized geometry", "formation_energy_uncorrected_mev_per_atom": -1026.1, "dos_at_fermi_per_ev_atom": 0.62, "total_magnetization_mub_per_cell": 0.58, "cell": [[3.911, 0.000, 0.000], [1.955, 3.387, 0.000], [1.955, 1.129, 10.938]], "species": ["Ca", "Ca", "F", "Rb"], "fractional_positions": [[0.121, 0.121, 0.638], [0.879, 0.879, 0.362], [0.500, 0.500, 0.500], [0.000, 0.000, 0.000]]}

{"formula": "RbCaF3", "functional": "GGA-PBE", "state": "optimized geometry", "formation_energy_uncorrected_mev_per_atom": -2247.7, "dos_at_fermi_per_ev_atom": 0.00, "total_magnetization_mub_per_cell": 0.00, "cell": [[-4.850, 0.396, -0.602], [0.209, -3.147, -3.754], [-0.690, -3.739, 3.096]], "species": ["Rb", "F", "F", "F", "Ca"], "fractional_positions": [[0.000, 0.000, 0.000], [0.500, 0.000, 0.000], [0.000, 0.000, 0.500], [0.000, 0.500, 0.000], [0.500, 0.500, 0.500]]}

{"formula": "RbCaF2", "functional": "GGA-PBE", "state": "optimized geometry", "formation_energy_uncorrected_mev_per_atom": -2679.5, "dos_at_fermi_per_ev_atom": 0.14, "total_magnetization_mub_per_cell": 0.00, "cell": [[6.353, 0.000, 0.000], [0.000, 6.353, 0.000], [3.177, 3.177, 5.800]], "species": ["Ca", "Ca", "F", "F", "F", "F", "Rb", "Rb"], "fractional_positions": [[0.500, 0.500, 0.000], [0.250, 0.750, 0.500], [0.470, 0.125, 0.250], [0.875, 0.720, 0.750], [0.280, 0.625, 0.250], [0.375, 0.530, 0.750], [0.000, 0.000, 0.000], [0.750, 0.250, 0.500]]}

{"formula": "RbCaF3", "functional": "GGA-PBE", "state": "optimized geometry", "formation_energy_uncorrected_mev_per_atom": -3224.1, "dos_at_fermi_per_ev_atom": 0.00, "total_magnetization_mub_per_cell": 0.00, "cell": [[3.801, -2.195, 0.000], [0.000, 4.389, 0.000], [0.000, 0.000, 9.656]], "species": ["Rb", "Rb", "Ca", "Ca", "F", "F", "F", "F", "F", "F"], "fractional_positions": [[0.333, 0.667, 0.750], [0.667, 0.333, 0.250], [0.000, 0.000, 0.500], [0.000, 0.000, 0.000], [0.000, 0.000, 0.750], [0.667, 0.333, 0.950], [0.333, 0.667, 0.050], [0.667, 0.333, 0.550], [0.333, 0.667, 0.450], [0.000, 0.000, 0.250]]}

{"formula": "Rb2CaF7", "functional": "GGA-PBE", "state": "optimized geometry", "formation_energy_uncorrected_mev_per_atom": -2110.8, "dos_at_fermi_per_ev_atom": 0.00, "total_magnetization_mub_per_cell": 3.00, "cell": [[6.256, 0.000, 0.000], [0.000, 6.256, 0.000], [3.128, 3.128, 4.431]], "species": ["F", "F", "F", "F", "F", "F", "F", "Rb", "Rb", "Ca"], "fractional_positions": [[0.251, 0.749, 0.000], [0.500, 0.500, 0.000], [0.749, 0.749, 0.000], [0.251, 0.251, 0.000], [0.250, 0.250, 0.500], [0.750, 0.750, 0.500], [0.749, 0.251, 0.000], [0.750, 0.250, 0.500], [0.250, 0.750, 0.500], [0.000, 0.000, 0.000]]}

{"formula": "RbCa2F", "functional": "GGA-PBE", "state": "optimized geometry", "formation_energy_uncorrected_mev_per_atom": -255.3, "dos_at_fermi_per_ev_atom": 0.63, "total_magnetization_mub_per_cell": 0.00, "cell": [[0.000, 4.386, 4.386], [4.386, 0.000, 4.386], [4.386, 4.386, 0.000]], "species": ["Ca", "Ca", "F", "Rb"], "fractional_positions": [[0.750, 0.750, 0.750], [0.250, 0.250, 0.250], [0.000, 0.000, 0.000], [0.500, 0.500, 0.500]]}